Here is a geometry-optimized CsCaHI2 structure from Alexandria via LeMat-Bulk. Energies are from PBE-GGA.

abc: 6.4309 6.4309 4.4985
angles: 90.00 90.00 90.00
Fractional positions:
Cs1 0.5000 0.5000 0.5000
I1 0.0000 0.5000 0.0000
I2 0.5000 0.0000 0.0000
Ca1 0.0000 0.0000 0.0000
H1 0.0000 0.0000 0.5000

Computed properties:
final energy: -15.28 eV/cell
total magnetic moment: 0.00 μB/f.u.
space-group type: P4/mmm (123)



Here is a geometry-optimized NpInBiAu structure from Alexandria via LeMat-Bulk. Energies are from PBE-GGA.

abc: 5.2464 5.2464 5.2464
angles: 60.00 60.00 60.00
Last column: magnetic moment on the atom in μB.
Fractional positions:
Np1 0.0000 0.0000 0.0000  4.11
Au1 0.2500 0.2500 0.2500  -0.03
Bi1 0.7500 0.7500 0.7500  0.06
In1 0.5000 0.5000 0.5000  0.01

Computed properties:
ΔH_f (0 K): 18 kJ/mol of formula units
final energy: -22.65 eV/cell
total magnetic moment: 4.45 μB/f.u.
space-group type: F-43m (216)



Here is a geometry-optimized Pm3SmTe structure from Alexandria via LeMat-Bulk. Energies are from PBE-GGA.

abc: 3.9453 11.1332 14.8810
angles: 90.00 90.00 90.00
Fractional positions:
Pm1 0.2500 0.5607 0.0857
Pm2 0.7500 0.4393 0.9143
Pm3 0.2500 0.0607 0.4143
Pm4 0.7500 0.9393 0.5857
Pm5 0.2500 0.4348 0.7006
Pm6 0.7500 0.0652 0.2006
Pm7 0.2500 0.9348 0.7994
Pm8 0.7500 0.6912 0.7101
Pm9 0.2500 0.3088 0.2899
Pm10 0.7500 0.1912 0.7899
Pm11 0.7500 0.5652 0.2994
Pm12 0.2500 0.8088 0.2101
Sm1 0.7500 0.8345 0.0008
Sm2 0.2500 0.6655 0.5008
Sm3 0.7500 0.3345 0.4992
Sm4 0.2500 0.1655 0.9992
Te1 0.2500 0.1624 0.6202
Te2 0.2500 0.6624 0.8798
Te3 0.7500 0.3376 0.1202
Te4 0.7500 0.8376 0.3798

Computed properties:
final energy: -97.80 eV/cell
formation energy from raw total energies: -0.47 eV/atom
total magnetic moment: 0.00 μB/f.u.
space-group type: Pnma (62)



Here is a geometry-optimized Nb3InGa structure from Alexandria via LeMat-Bulk. Energies are from PBE-GGA.

abc: 5.0176 5.0176 5.0176
angles: 90.00 90.00 90.00
Fractional positions:
Nb1 0.0000 0.5000 0.0000
Nb2 0.0000 0.0000 0.5000
Nb3 0.5000 0.0000 0.0000
Ga1 0.5000 0.5000 0.5000
In1 0.0000 0.0000 0.0000

Computed properties:
ΔH_f (0 K): 849 kJ/mol of formula units
final energy: -27.18 eV/cell
total magnetic moment: 0.00 μB/f.u.
space-group type: Pm-3m (221)